VASP calculation (PBE) on crystalline Ba2LaY3O8 at its relaxed geometry.

```
14
Lattice="3.529 2.037 6.120 -3.529 2.037 6.120 0.000 -4.075 6.120" Properties=species:S:1:pos:R:3 pbc="T T T"
Ba 0.000 0.000 0.000
Ba 0.000 0.000 6.918
La 0.000 0.000 11.311
Y 0.000 -2.001 3.037
Y -1.733 1.001 3.037
Y 1.733 1.001 3.037
O -1.823 -1.053 10.449
O 0.000 0.000 4.234
O 0.000 -2.269 7.998
O -1.965 1.135 7.998
O 1.823 -1.053 10.449
O 0.000 2.105 10.449
O 0.000 0.000 14.001
O 1.965 1.135 7.998
```

Computed properties:
As for the symmetry: R3m (160). The density of states at the Fermi level is 0.00 states/eV/cell. The uncorrected formation energy is -44.3 eV per formula unit. The value obtained for the total magnetization is 0.00 Bohr magnetons per cell.